Record 1
# BaLiLa2Pt

A geometry-optimized BaLiLa2Pt structure (PBE, the Alexandria database).

Summary:
energy above the lowest structure with this stoichiometry	0.000	eV per atom
energy of formation	-322	meV/atom
E_tot	-4.268	eV per atom
volume	35.904	Å³/atom

abc: 5.7051 5.7051 5.5155
angles: 90.00 90.00 90.00
With the nearest neighbours (Å) after each atom.
Element x y z (fractional)
Ba: 0.5000 0.5000 0.5000  8 La 3.97, 4 Li 4.03
Li: 0.0000 0.0000 0.5000  2 Pt 2.76
Pt: 0.0000 0.0000 0.0000  2 Li 2.76, 4 La 2.85
La: 0.0000 0.5000 0.0000  2 Pt 2.85
La: 0.5000 0.0000 0.0000  2 Pt 2.85

=====

Record 2
# BaLiLa2Rh

A geometry-optimized BaLiLa2Rh structure (PBE, the Alexandria database).

Summary:
energy above the lowest structure with this stoichiometry	0.000	eV per atom
energy of formation	-183	meV/atom
E_tot	-4.391	eV per atom
volume	35.179	Å³/atom

abc: 5.4938 5.4938 5.8277
angles: 90.00 90.00 90.00
With the nearest neighbours (Å) after each atom.
Element x y z (fractional)
Li: 0.0000 0.0000 0.5000  2 Rh 2.91
Ba: 0.5000 0.5000 0.5000  4 Li 3.88, 8 La 4.00
Rh: 0.0000 0.0000 0.0000  4 La 2.75, 2 Li 2.91
La: 0.5000 0.0000 0.0000  2 Rh 2.75
La: 0.0000 0.5000 0.0000  2 Rh 2.75